Entry 1:
DFT (PBE-GGA) results for an optimized crystal structure of Na2InCl4.

Lattice parameters (Å, degrees): 5.3655 5.3655 14.7679 90.00 90.00 90.00
Closest atoms and distances in Å follow each position.
Space group I4/mmm (No. 139)
Symmetry-distinct sites (fractional):
Na 0.0000 0.0000 0.1390  1 Cl 2.62
In 0.0000 0.0000 0.5000  6 Cl 2.68-2.71
Cl 0.0000 0.0000 0.3164  1 Na 2.62, 1 In 2.71
Cl 0.0000 0.5000 0.0000  2 In 2.68

## Properties
offset from the most stable computed form	18	kJ/mol of formula units
uncorrected formation energy	-1.281	eV per atom



Entry 2:
DFT (PBE-GGA) results for an optimized crystal structure of HPd2Au2.

Lattice parameters (Å, degrees): 4.0624 4.0624 4.1945 90.00 90.00 90.00
Closest atoms and distances in Å follow each position.
Space group P4/mmm (No. 123)
Symmetry-distinct sites (fractional):
H 0.0000 0.0000 0.0000  4 Pd 2.03, 2 Au 2.10
Pd 0.0000 0.5000 0.0000  2 H 2.03
Au 0.0000 0.0000 0.5000  2 H 2.10
Au 0.5000 0.5000 0.5000  4 Au 2.87, 8 Pd 2.92

## Properties
offset from the most stable computed form	0	kJ/mol of formula units